CsNiC: optimized geometry, PBE.

Summary:
Energy of formation from the pure elements: 73.9 kJ/mol of formula units
Energy: -5.031 eV/atom
Density: 3.302 Mg/m³
Volume: 34.13 Å³/atom

```
data_CsNiC
_chemical_formula_sum 'Cs8 Ni8 C8'
_cell_length_a 4.735
_cell_length_b 20.241
_cell_length_c 8.545
_cell_angle_alpha 90.00
_cell_angle_beta 90.00
_cell_angle_gamma 90.00
_symmetry_space_group_name_H-M 'C m c e'
_symmetry_Int_Tables_number 64
_symmetry_space_group_name_Hall '-C 2ac 2'
loop_
_atom_site_label
_atom_site_fract_x
_atom_site_fract_y
_atom_site_fract_z
_atom_site_occupancy
Cs1 0.000 0.116 0.011 1
Ni1 0.250 0.008 0.750 1
C1 0.000 0.002 0.577 1
```